The following is a DFT calculation (GGA-PBEsol) of crystalline LiCoSnO4 at its relaxed geometry.

```
data_LiCoSnO4
_chemical_formula_sum 'Li4 Co4 Sn4 O16'
_cell_length_a 5.989
_cell_length_b 5.989
_cell_length_c 8.469
_cell_angle_alpha 90.00
_cell_angle_beta 90.00
_cell_angle_gamma 90.00
_symmetry_space_group_name_H-M 'P 43 2 2'
_symmetry_Int_Tables_number 95
loop_
_symmetry_equiv_pos_as_xyz
'x,y,z'
'-y,x,z+3/4'
'-x,-y,z+1/2'
'y,-x,z+1/4'
'x,-y,-z+1/2'
'-y,-x,-z+3/4'
'-x,y,-z'
'y,x,-z+1/4'
loop_
_atom_site_label
_atom_site_fract_x
_atom_site_fract_y
_atom_site_fract_z
_atom_site_occupancy
Li1 0.000 0.206 0.000 1
Co1 0.254 0.254 0.625 1
Sn1 0.224 0.500 0.250 1
O1 0.008 0.253 0.752 1
O2 0.257 0.482 0.005 1
```

Results
For the total moment, the calculation gives 4.0 μB/f.u. The calculation puts the raw formation energy at -1.39 eV/atom.